DFT (PBE) results for Na3CuSb3 after structural relaxation.

## Properties
For the total DFT energy (no corrections), the calculation gives -89.199 eV per cell. The volume comes out at 26.7 Å³/atom. The calculation puts the magnetic moment at 0.00 μB per formula unit.

a b c (Å): 11.301 4.700 15.010
angles (deg): 90.00 110.29 90.00
Space group C2/m (No. 12)
Asymmetric unit:
Na 0.023 0.000 0.381 [4 per cell]
Na 0.090 0.000 0.913 [4 per cell]
Na 0.250 0.000 0.235 [4 per cell]
Cu 0.245 0.500 0.401 [4 per cell]
Sb 0.047 0.500 0.244 [4 per cell]
Sb 0.118 0.500 0.078 [4 per cell]
Sb 0.139 0.500 0.539 [4 per cell]

---

DFT (PBE) results for NaCuSb2 after structural relaxation.

## Properties
For the total DFT energy (no corrections), the calculation gives -52.716 eV per cell. Its relative energy among the computed polymorphs is 0.98 eV per formula unit. The volume comes out at 22.4 Å³/atom. The calculation puts the magnetic moment at 0.00 μB per formula unit.

a b c (Å): 7.099 7.099 7.099
angles (deg): 90.00 90.00 90.00
Space group Fm-3m (No. 225)
Asymmetric unit:
Na 0.000 0.000 0.000 [4 per cell]
Cu 0.000 0.000 0.500 [4 per cell]
Sb 0.250 0.250 0.250 [8 per cell]

---

DFT (PBE) results for Na6CuSb2 after structural relaxation.

## Properties
For the total DFT energy (no corrections), the calculation gives -68.247 eV per cell. The volume comes out at 27.3 Å³/atom. The calculation puts the magnetic moment at 0.00 μB per formula unit.

a b c (Å): 5.3535 5.3535 29.7389
angles (deg): 90.00 90.00 120.00
Space group R-3m (No. 166, hexagonal axes)
Asymmetric unit:
Na 0.0000 0.0000 0.0775 [6 per cell]
Na 0.0000 0.0000 0.1973 [6 per cell]
Na 0.0000 0.0000 0.3073 [6 per cell]
Cu 0.0000 0.0000 0.5000 [3 per cell]
Sb 0.0000 0.0000 0.4145 [6 per cell]

---

DFT (PBE) results for Na3Cu4Sb4 after structural relaxation.

## Properties
For the total DFT energy (no corrections), the calculation gives -75.248 eV per cell. The volume comes out at 24.0 Å³/atom. The calculation puts the magnetic moment at 0.00 μB per formula unit.

a b c (Å): 4.519 4.583 25.449
angles (deg): 90.00 90.00 90.00
Space group Immm (No. 71)
Asymmetric unit:
Na 0.000 0.000 0.000 [2 per cell]
Na 0.000 0.500 0.363 [4 per cell]
Cu 0.000 0.000 0.451 [4 per cell]
Cu 0.000 0.500 0.191 [4 per cell]
Sb 0.000 0.000 0.249 [4 per cell]
Sb 0.000 0.500 0.090 [4 per cell]

---

DFT (PBE) results for NaCuSb2 after structural relaxation.

## Properties
For the total DFT energy (no corrections), the calculation gives -28.323 eV per cell. Its relative energy among the computed polymorphs is 0.00 eV per formula unit. The volume comes out at 25.3 Å³/atom. The calculation puts the magnetic moment at 0.00 μB per formula unit.

a b c (Å): 5.034 4.266 9.726
angles (deg): 90.00 104.16 90.00
Space group P2_1/m (No. 11)
Asymmetric unit:
Na 0.014 0.250 0.207 [2 per cell]
Cu 0.306 0.250 0.651 [2 per cell]
Sb 0.247 0.750 0.485 [2 per cell]
Sb 0.431 0.750 0.087 [2 per cell]

---

DFT (PBE) results for NaCuSb after structural relaxation.

## Properties
For the total DFT energy (no corrections), the calculation gives -39.149 eV per cell. The volume comes out at 21.9 Å³/atom. The calculation puts the magnetic moment at 0.00 μB per formula unit.

a b c (Å): 6.405 6.405 6.405
angles (deg): 90.00 90.00 90.00
Space group F-43m (No. 216)
Asymmetric unit:
Na 0.000 0.000 0.000 [4 per cell]
Cu 0.250 0.250 0.750 [4 per cell]
Sb 0.000 0.000 0.500 [4 per cell]

---

DFT (PBE) results for NaCuSbSe3 after structural relaxation.

## Properties
For the total DFT energy (no corrections), the calculation gives -45.205 eV per cell. The volume comes out at 25.2 Å³/atom. The calculation puts the magnetic moment at 0.00 μB per formula unit.

a b c (Å): 8.817 3.987 8.852
angles (deg): 90.00 103.75 90.00
Space group P2_1/m (No. 11)
Asymmetric unit:
Na 0.232 0.250 0.184 [2 per cell]
Cu 0.423 0.750 0.928 [2 per cell]
Sb 0.148 0.250 0.665 [2 per cell]
Se 0.131 0.750 0.886 [2 per cell]
Se 0.177 0.750 0.440 [2 per cell]
Se 0.484 0.250 0.788 [2 per cell]

---

DFT (PBE) results for Na3CuSb3Se8 after structural relaxation.

## Properties
For the total DFT energy (no corrections), the calculation gives -109.643 eV per cell. The volume comes out at 26.7 Å³/atom. The calculation puts the magnetic moment at 0.00 μB per formula unit.

a b c (Å): 13.811 7.946 8.638
angles (deg): 90.00 122.33 90.00
Space group C2/m (No. 12)
Asymmetric unit:
Na 0.000 0.000 0.000 [2 per cell]
Na 0.250 0.250 0.000 [4 per cell]
Cu 0.000 0.000 0.500 [2 per cell]
Sb 0.000 0.500 0.500 [2 per cell]
Sb 0.250 0.250 0.500 [4 per cell]
Se 0.006 0.228 0.289 [8 per cell]
Se 0.221 0.000 0.710 [4 per cell]
Se 0.244 0.500 0.732 [4 per cell]

---

DFT (PBE) results for Na2Cu2SbSe4 after structural relaxation.

## Properties
For the total DFT energy (no corrections), the calculation gives -67.074 eV per cell. The volume comes out at 22.6 Å³/atom. The calculation puts the magnetic moment at 0.00 μB per formula unit.

a b c (Å): 15.131 3.931 7.496
angles (deg): 90.00 114.22 90.00
Space group C2/m (No. 12)
Asymmetric unit:
Na 0.133 0.000 0.057 [4 per cell]
Cu 0.193 0.500 0.492 [4 per cell]
Sb 0.000 0.000 0.500 [2 per cell]
Se 0.018 0.500 0.243 [4 per cell]
Se 0.207 0.000 0.704 [4 per cell]

---

DFT (PBE) results for Na3CuSb2Se6 after structural relaxation.

## Properties
For the total DFT energy (no corrections), the calculation gives -86.821 eV per cell. The volume comes out at 24.4 Å³/atom. The calculation puts the magnetic moment at 0.31 μB per formula unit.

a b c (Å): 6.996 11.804 7.497
angles (deg): 90.00 108.73 90.00
Space group C2/m (No. 12)
Asymmetric unit:
Na 0.000 0.000 0.000 [2 per cell]
Na 0.000 0.322 0.000 [4 per cell]
Cu 0.000 0.500 0.500 [2 per cell]
Sb 0.000 0.163 0.500 [4 per cell]
Se 0.223 0.347 0.711 [8 per cell]
Se 0.248 0.000 0.739 [4 per cell]

---

DFT (PBE) results for NaCuSbSe2 after structural relaxation.

## Properties
For the total DFT energy (no corrections), the calculation gives -36.331 eV per cell. The volume comes out at 24.9 Å³/atom. The calculation puts the magnetic moment at 0.00 μB per formula unit.

a b c (Å): 7.240 4.181 8.324
angles (deg): 90.00 98.80 90.00
Space group P2/c (No. 13)
Asymmetric unit:
Na 0.000 0.161 0.250 [2 per cell]
Cu 0.500 0.000 0.000 [2 per cell]
Sb 0.500 0.485 0.750 [2 per cell]
Se 0.231 0.330 0.967 [4 per cell]

---

DFT (PBE) results for Na4CuSb3Se8 after structural relaxation.

## Properties
For the total DFT energy (no corrections), the calculation gives -116.728 eV per cell. The volume comes out at 25.5 Å³/atom. The calculation puts the magnetic moment at 0.00 μB per formula unit.

a b c (Å): 14.300 7.988 8.494
angles (deg): 90.00 122.79 90.00
Space group C2/m (No. 12)
Asymmetric unit:
Na 0.000 0.000 0.000 [2 per cell]
Na 0.000 0.500 0.000 [2 per cell]
Na 0.250 0.250 0.000 [4 per cell]
Cu 0.000 0.000 0.500 [2 per cell]
Sb 0.000 0.500 0.500 [2 per cell]
Sb 0.250 0.250 0.500 [4 per cell]
Se 0.008 0.216 0.298 [8 per cell]
Se 0.233 0.500 0.246 [4 per cell]
Se 0.241 0.500 0.734 [4 per cell]

---

DFT (PBE) results for Na2CuSbSe4 after structural relaxation.

## Properties
For the total DFT energy (no corrections), the calculation gives -28.667 eV per cell. The volume comes out at 24.8 Å³/atom. The calculation puts the magnetic moment at 0.00 μB per formula unit.

a b c (Å): 7.299 3.818 7.684
angles (deg): 90.00 112.06 90.00
Space group P2/m (No. 10)
Asymmetric unit:
Na 0.000 0.000 0.000 [1 per cell]
Na 0.500 0.500 0.000 [1 per cell]
Cu 0.000 0.500 0.500 [1 per cell]
Sb 0.500 0.000 0.500 [1 per cell]
Se 0.200 0.000 0.670 [2 per cell]
Se 0.284 0.500 0.238 [2 per cell]

---

DFT (PBE) results for NaSr2Cu3Sb4 after structural relaxation.

## Properties
For the total DFT energy (no corrections), the calculation gives -37.792 eV per cell. The volume comes out at 24.7 Å³/atom. The calculation puts the magnetic moment at 0.00 μB per formula unit.

a b c (Å): 4.623 4.623 11.534
angles (deg): 90.00 90.00 90.00
Space group P-4m2 (No. 115)
Asymmetric unit:
Na 0.000 0.000 0.000 [1 per cell]
Sr 0.000 0.500 0.749 [2 per cell]
Cu 0.000 0.500 0.372 [2 per cell]
Cu 0.500 0.500 0.000 [1 per cell]
Sb 0.000 0.000 0.500 [1 per cell]
Sb 0.000 0.500 0.148 [2 per cell]
Sb 0.500 0.500 0.500 [1 per cell]

---

DFT (PBE) results for NaCuSb2Te after structural relaxation.

## Properties
For the total DFT energy (no corrections), the calculation gives -11.818 eV per cell. Its relative energy among the computed polymorphs is 4.29 eV per formula unit. The volume comes out at 31.1 Å³/atom. The calculation puts the magnetic moment at 0.00 μB per formula unit.

a b c (Å): 5.366 5.366 5.405
angles (deg): 90.00 90.00 90.00
Space group P4/mmm (No. 123)
Asymmetric unit:
Na 0.000 0.000 0.000 [1 per cell]
Cu 0.500 0.500 0.500 [1 per cell]
Sb 0.000 0.500 0.000 [2 per cell]
Te 0.000 0.000 0.500 [1 per cell]

---

DFT (PBE) results for NaCuSbTe3 after structural relaxation.

## Properties
For the total DFT energy (no corrections), the calculation gives -41.334 eV per cell. The volume comes out at 30.1 Å³/atom. The calculation puts the magnetic moment at 0.00 μB per formula unit.

a b c (Å): 9.302 4.204 9.536
angles (deg): 90.00 104.16 90.00
Space group P2_1/m (No. 11)
Asymmetric unit:
Na 0.232 0.250 0.178 [2 per cell]
Cu 0.432 0.750 0.934 [2 per cell]
Sb 0.142 0.250 0.663 [2 per cell]
Te 0.132 0.750 0.889 [2 per cell]
Te 0.190 0.750 0.445 [2 per cell]
Te 0.481 0.250 0.783 [2 per cell]

---

DFT (PBE) results for NaCuSbTe2 after structural relaxation.

## Properties
For the total DFT energy (no corrections), the calculation gives -15.551 eV per cell. Its relative energy among the computed polymorphs is 1.13 eV per formula unit. The volume comes out at 29.4 Å³/atom. The calculation puts the magnetic moment at 0.00 μB per formula unit.

a b c (Å): 5.464 5.464 4.925
angles (deg): 90.00 90.00 90.00
Space group P4/mmm (No. 123)
Asymmetric unit:
Na 0.000 0.000 0.000 [1 per cell]
Cu 0.500 0.500 0.500 [1 per cell]
Sb 0.500 0.500 0.000 [1 per cell]
Te 0.000 0.500 0.500 [2 per cell]

---

DFT (PBE) results for NaCuSb2Te after structural relaxation.

## Properties
For the total DFT energy (no corrections), the calculation gives -16.109 eV per cell. Its relative energy among the computed polymorphs is 0.00 eV per formula unit. The volume comes out at 28.8 Å³/atom. The calculation puts the magnetic moment at 0.00 μB per formula unit.

a b c (Å): 5.132 5.132 5.475
angles (deg): 90.00 90.00 90.00
Space group P4/mmm (No. 123)
Asymmetric unit:
Na 0.000 0.000 0.000 [1 per cell]
Cu 0.500 0.500 0.500 [1 per cell]
Sb 0.000 0.500 0.500 [2 per cell]
Te 0.500 0.500 0.000 [1 per cell]

---

DFT (PBE) results for NaCuSbTe2 after structural relaxation.

## Properties
For the total DFT energy (no corrections), the calculation gives -11.145 eV per cell. Its relative energy among the computed polymorphs is 5.53 eV per formula unit. The volume comes out at 32.0 Å³/atom. The calculation puts the magnetic moment at 0.00 μB per formula unit.

a b c (Å): 5.471 5.471 5.351
angles (deg): 90.00 90.00 90.00
Space group P4/mmm (No. 123)
Asymmetric unit:
Na 0.000 0.000 0.000 [1 per cell]
Cu 0.500 0.500 0.500 [1 per cell]
Sb 0.000 0.000 0.500 [1 per cell]
Te 0.000 0.500 0.000 [2 per cell]

---

DFT (PBE) results for NaCuSbTe2 after structural relaxation.

## Properties
For the total DFT energy (no corrections), the calculation gives -33.353 eV per cell. Its relative energy among the computed polymorphs is 0.00 eV per formula unit. The volume comes out at 31.2 Å³/atom. The calculation puts the magnetic moment at 0.00 μB per formula unit.

a b c (Å): 7.164 5.365 8.147
angles (deg): 90.00 94.99 90.00
Space group P2/c (No. 13)
Asymmetric unit:
Na 0.000 0.179 0.250 [2 per cell]
Cu 0.500 0.000 0.000 [2 per cell]
Sb 0.500 0.339 0.250 [2 per cell]
Te 0.233 0.288 0.930 [4 per cell]